Record 1
First-principles (PBE) data for a relaxed LiInF2 crystal, as listed in the Alexandria database.

a = 3.0474 Å, b = 3.0474 Å, c = 19.7767 Å
α = 90.00°, β = 90.00°, γ = 120.00°
Space group R-3m (No. 166, hexagonal axes)
One atom of each set of equivalent atoms:
Li (0.0000, 0.0000, 0.0000) x3
In (0.0000, 0.0000, 0.5000) x3
F (0.0000, 0.0000, 0.3886) x6

Results
Total DFT energy (no corrections) (eV/atom): -4.340
Distance to the lowest polymorph of the same formula (meV per atom): 0
Formation energy without anion corrections (meV per atom): -2241

=====

Record 2
First-principles (PBE) data for a relaxed Zn2GeH crystal, as listed in the Alexandria database.

a = 4.657 Å, b = 4.657 Å, c = 11.202 Å
α = 90.00°, β = 90.00°, γ = 90.00°
Space group I-42d (No. 122)
One atom of each set of equivalent atoms:
Zn (0.120, 0.250, 0.125) x8
Ge (0.000, 0.000, 0.500) x4
H (0.000, 0.000, 0.000) x4

Results
Total DFT energy (no corrections) (eV/atom): -2.337
Distance to the lowest polymorph of the same formula (meV per atom): 66

=====

Record 3
First-principles (PBE) data for a relaxed Ca2TcHg2O6 crystal, as listed in the Alexandria database.

a = 5.740 Å, b = 10.013 Å, c = 6.451 Å
α = 90.00°, β = 98.87°, γ = 90.00°
Space group C2/m (No. 12)
One atom of each set of equivalent atoms:
Ca (0.000, 0.164, 0.000) x4
Tc (0.000, 0.500, 0.000) x2
Hg (0.000, 0.343, 0.500) x4
O (0.166, 0.361, 0.169) x8
O (0.249, 0.500, 0.824) x4

Results
Total DFT energy (no corrections) (eV/atom): -5.638
Formation energy without anion corrections (meV per atom): -1572

=====

Record 4
First-principles (PBE) data for a relaxed Tl2CdPdPb crystal, as listed in the Alexandria database.

a = 5.300 Å, b = 5.300 Å, c = 5.262 Å
α = 90.00°, β = 90.00°, γ = 90.00°
Space group P4/mmm (No. 123)
One atom of each set of equivalent atoms:
Tl (0.000, 0.500, 0.000) x2
Cd (0.000, 0.000, 0.500) x1
Pd (0.000, 0.000, 0.000) x1
Pb (0.500, 0.500, 0.500) x1

Results
Total DFT energy (no corrections) (eV/atom): -2.826
Calculated formation energy (eV per formula unit): 0.420

=====

Record 5
First-principles (PBE) data for a relaxed V3Co3C crystal, as listed in the Alexandria database.

a = 10.708 Å, b = 10.708 Å, c = 10.708 Å
α = 90.00°, β = 90.00°, γ = 90.00°
Space group Fd-3m (No. 227, origin choice 2)
One atom of each set of equivalent atoms:
V (0.069, 0.375, 0.375) x48
Co (0.000, 0.000, 0.500) x16
Co (0.041, 0.041, 0.709) x32
C (0.000, 0.000, 0.000) x16

Results
Total DFT energy (no corrections) (eV/atom): -8.518
Calculated formation energy (eV per formula unit): -1.726

=====

Record 6
First-principles (PBE) data for a relaxed Y2Pd2F crystal, as listed in the Alexandria database.

a = 7.246 Å, b = 7.246 Å, c = 4.022 Å
α = 90.00°, β = 90.00°, γ = 90.00°
Space group P4/mbm (No. 127)
One atom of each set of equivalent atoms:
Y (0.180, 0.320, 0.000) x4
Pd (0.127, 0.627, 0.500) x4
F (0.000, 0.000, 0.000) x2

Results
Total DFT energy (no corrections) (eV/atom): -6.399
Distance to the lowest polymorph of the same formula (meV per atom): 0
Formation energy without anion corrections (meV per atom): -1362